[1]
Density functional theory data (GGA+U) for a geometry-optimized Ba3PaNi2O9 structure.

magnetization	0.065	μB/atom
VASP energy	-6.537	eV/atom

abc: 5.843 5.843 7.281
angles: 90.00 90.00 120.00
Fractional positions:
Ba: 0.667 0.333 0.304
O: 0.171 0.829 0.326
O: 0.829 0.659 0.674
O: 0.829 0.171 0.674
Ba: 0.333 0.667 0.696
O: 0.341 0.171 0.674
Ba: 0.000 0.000 0.000
O: 0.000 0.500 0.000
O: 0.171 0.341 0.326
Pa: 0.000 0.000 0.500
Ni: 0.333 0.667 0.164
O: 0.500 0.000 0.000
Ni: 0.667 0.333 0.836
O: 0.659 0.829 0.326
O: 0.500 0.500 0.000

---

[2]
Density functional theory data (GGA+U) for a geometry-optimized Ba3NiPd2O8 structure.

magnetization	0.105	μB/atom
VASP energy	-5.396	eV/atom

abc: 5.762 5.762 7.820
angles: 90.00 90.00 120.00
Fractional positions:
O: 0.680 0.840 0.333
O: 0.667 0.333 0.041
Ba: 0.333 0.667 0.632
Ba: 0.000 0.000 0.000
O: 0.160 0.320 0.333
O: 0.320 0.160 0.667
O: 0.840 0.680 0.667
Pd: 0.667 0.333 0.799
O: 0.840 0.160 0.667
O: 0.160 0.840 0.333
Ni: 0.000 0.000 0.500
Pd: 0.333 0.667 0.201
Ba: 0.667 0.333 0.368
O: 0.333 0.667 0.959